VASP calculation (meta-GGA SCAN) on Mg2TiO4 at its PBEsol-relaxed geometry.

## Properties
- Distance to the lowest polymorph of the same formula: 0 meV/atom
- ρ: 3.5 g/cm³
- Uncorrected formation energy: -3.183 eV/atom
- SG: P4_122, No. 91

Lattice parameters (Å, degrees): 5.9867 5.9867 8.3986 90.00 90.00 90.00
Positions (direct):
1 Mg 0.0000 0.2496 0.0000
2 Mg 0.0000 0.7504 0.5000
3 Mg 0.2496 0.0000 0.7500
4 Mg 0.2516 0.2516 0.3750
5 Mg 0.2516 0.7484 0.1250
6 Mg 0.7484 0.2516 0.6250
7 Mg 0.7484 0.7484 0.8750
8 Mg 0.7504 0.0000 0.2500
9 Ti 0.2378 0.5000 0.7500
10 Ti 0.5000 0.2378 0.0000
11 Ti 0.5000 0.7622 0.5000
12 Ti 0.7622 0.5000 0.2500
13 O 0.0275 0.2629 0.7519
14 O 0.0275 0.7371 0.7481
15 O 0.2615 0.4835 0.9833
16 O 0.2615 0.5165 0.5167
17 O 0.2629 0.0275 0.9981
18 O 0.2629 0.9725 0.5019
19 O 0.4835 0.2615 0.7667
20 O 0.4835 0.7385 0.7333
21 O 0.5165 0.2615 0.2333
22 O 0.5165 0.7385 0.2667
23 O 0.7371 0.0275 0.0019
24 O 0.7371 0.9725 0.4981
25 O 0.7385 0.4835 0.0167
26 O 0.7385 0.5165 0.4833
27 O 0.9725 0.2629 0.2481
28 O 0.9725 0.7371 0.2519

***

VASP calculation (meta-GGA SCAN) on MnOs4 at its PBEsol-relaxed geometry.

## Properties
- ρ: 16.6 g/cm³
- Formation energy: 513 meV/atom
- SG: I4/mmm, No. 139

Lattice parameters (Å, degrees): 6.2552 6.2552 6.2552 144.56 144.56 50.99
Positions (direct):
1 Mn 0.0000 0.0000 0.0000
2 Os 0.2500 0.7500 0.5000
3 Os 0.3962 0.3962 0.0000
4 Os 0.6038 0.6038 0.0000
5 Os 0.7500 0.2500 0.5000

***

VASP calculation (meta-GGA SCAN) on Li3InAg at its PBEsol-relaxed geometry.

## Properties
- ρ: 3.7 g/cm³
- Formation energy: 44 meV/atom
- SG: Pm-3m, No. 221

Lattice parameters (Å, degrees): 4.7741 4.7741 4.7741 90.00 90.00 90.00
Positions (direct):
1 Li 0.0000 0.0000 0.5000
2 Li 0.0000 0.5000 0.0000
3 Li 0.5000 0.0000 0.0000
4 In 0.5000 0.5000 0.5000
5 Ag 0.0000 0.0000 0.0000

***

VASP calculation (meta-GGA SCAN) on ZrReRu3 at its PBEsol-relaxed geometry.

## Properties
- ρ: 10.0 g/cm³
- Formation energy: 1065 meV/atom
- SG: Pm-3m, No. 221

Lattice parameters (Å, degrees): 4.5871 4.5871 4.5871 90.00 90.00 90.00
Positions (direct):
1 Zr 0.0000 0.0000 0.0000
2 Re 0.5000 0.5000 0.5000
3 Ru 0.0000 0.5000 0.5000
4 Ru 0.5000 0.0000 0.5000
5 Ru 0.5000 0.5000 0.0000